CaZr5: relaxed, PBE-GGA.

Properties
magnetization = 1.67 μB/cell
total energy = -7.091 eV/atom

Unit cell a=6.024 b=6.024 c=6.024 alpha=60.00 beta=60.00 gamma=60.00
Element x y z (fractional)
Ca (0.000, 0.000, 0.000)
Zr (0.378, 0.378, 0.378)
Zr (0.378, 0.378, 0.866)
Zr (0.378, 0.866, 0.378)
Zr (0.750, 0.750, 0.750)
Zr (0.866, 0.378, 0.378)